VASP calculation (PBE) on crystalline CsCaH2Pb at its relaxed geometry.

```
data_CsCaH2Pb
_cell_length_a 5.026
_cell_length_b 5.026
_cell_length_c 6.959
_cell_angle_alpha 90.00
_cell_angle_beta 90.00
_cell_angle_gamma 90.00
_space_group_name_H-M_alt 'P 4/m m m'
_space_group_IT_number 123
_space_group_name_Hall '-P 4 2'
loop_
_atom_site_label
_atom_site_type_symbol
_atom_site_fract_x
_atom_site_fract_y
_atom_site_fract_z
_atom_site_occupancy
Cs1 Cs 0.000 0.000 0.000 1
Ca1 Ca 0.500 0.500 0.000 1
H1 H 0.000 0.500 0.500 1
Pb1 Pb 0.000 0.000 0.500 1
```

Results
Final energy ... -1.81 eV/atom

---

VASP calculation (PBE) on crystalline ZrMn2Cr at its relaxed geometry.

```
data_ZrMn2Cr
_cell_length_a 2.793
_cell_length_b 3.850
_cell_length_c 5.474
_cell_angle_alpha 90.00
_cell_angle_beta 104.75
_cell_angle_gamma 90.00
_space_group_name_H-M_alt 'P 1 m 1'
_space_group_IT_number 6
loop_
_space_group_symop_operation_xyz
'x,y,z'
'x,-y,z'
loop_
_atom_site_label
_atom_site_type_symbol
_atom_site_fract_x
_atom_site_fract_y
_atom_site_fract_z
_atom_site_occupancy
Zr1 Zr 0.000 0.000 0.000 1
Mn1 Mn 0.287 0.500 0.704 1
Mn2 Mn 0.534 0.000 0.488 1
Cr1 Cr 0.729 0.500 0.313 1
```

Results
Energy relative to the lowest polymorph listed for this composition ... 0.1872 eV/atom
DFT formation energy ... 236.2 meV per atom

---

VASP calculation (PBE) on crystalline LaBHAu2 at its relaxed geometry.

```
data_LaBHAu2
_cell_length_a 5.829
_cell_length_b 5.829
_cell_length_c 5.290
_cell_angle_alpha 90.00
_cell_angle_beta 90.00
_cell_angle_gamma 90.00
_space_group_name_H-M_alt 'P 4/m m m'
_space_group_IT_number 123
_space_group_name_Hall '-P 4 2'
loop_
_atom_site_label
_atom_site_type_symbol
_atom_site_fract_x
_atom_site_fract_y
_atom_site_fract_z
_atom_site_occupancy
La1 La 0.000 0.000 0.000 1
B1 B 0.000 0.000 0.500 1
H1 H 0.500 0.500 0.500 1
Au1 Au 0.000 0.500 0.000 1
```

Results
Final energy ... -2.85 eV/atom

---

VASP calculation (PBE) on crystalline Ho3Tl5Se12 at its relaxed geometry.

```
data_Ho3Tl5Se12
_cell_length_a 16.761
_cell_length_b 16.761
_cell_length_c 16.761
_cell_angle_alpha 90.00
_cell_angle_beta 90.00
_cell_angle_gamma 90.00
_space_group_name_H-M_alt 'I a -3 d'
_space_group_IT_number 230
_space_group_name_Hall '-I 4bd 2c 3'
loop_
_atom_site_label
_atom_site_type_symbol
_atom_site_fract_x
_atom_site_fract_y
_atom_site_fract_z
_atom_site_occupancy
Ho1 Ho 0.000 0.250 0.125 1
Tl1 Tl 0.000 0.000 0.000 1
Tl2 Tl 0.000 0.250 0.375 1
Se1 Se 0.016 0.072 0.658 1
```

Results
Formation energy from raw total energies ... -0.691 eV per atom

---

VASP calculation (PBE) on crystalline AgRuRh2 at its relaxed geometry.

```
data_AgRuRh2
_cell_length_a 2.756
_cell_length_b 4.623
_cell_length_c 9.646
_cell_angle_alpha 90.00
_cell_angle_beta 90.00
_cell_angle_gamma 90.00
_space_group_name_H-M_alt 'I m m 2'
_space_group_IT_number 44
loop_
_space_group_symop_operation_xyz
'x,y,z'
'-x,-y,z'
'-x,y,z'
'x,-y,z'
'x+1/2,y+1/2,z+1/2'
'-x+1/2,-y+1/2,z+1/2'
'-x+1/2,y+1/2,z+1/2'
'x+1/2,-y+1/2,z+1/2'
loop_
_atom_site_label
_atom_site_type_symbol
_atom_site_fract_x
_atom_site_fract_y
_atom_site_fract_z
_atom_site_occupancy
Ag1 Ag 0.000 0.000 0.000 1
Ru1 Ru 0.000 0.500 0.232 1
Rh1 Rh 0.000 0.000 0.511 1
Rh2 Rh 0.000 0.500 0.773 1
```

Results
Energy relative to the lowest polymorph listed for this composition ... 0.2485 eV/atom
DFT formation energy ... 374.6 meV per atom

---

VASP calculation (PBE) on crystalline HfSc3As at its relaxed geometry.

```
data_HfSc3As
_cell_length_a 5.128
_cell_length_b 5.128
_cell_length_c 5.128
_cell_angle_alpha 90.00
_cell_angle_beta 90.00
_cell_angle_gamma 90.00
_space_group_name_H-M_alt 'P m -3 m'
_space_group_IT_number 221
_space_group_name_Hall '-P 4 2 3'
loop_
_atom_site_label
_atom_site_type_symbol
_atom_site_fract_x
_atom_site_fract_y
_atom_site_fract_z
_atom_site_occupancy
Hf1 Hf 0.000 0.000 0.000 1
Sc1 Sc 0.000 0.000 0.500 1
As1 As 0.500 0.500 0.500 1
```

Results
Energy relative to the lowest polymorph listed for this composition ... 0.8198 eV/atom
DFT formation energy ... 787.8 meV per atom

---

VASP calculation (PBE) on crystalline Ba3TbGe2O9 at its relaxed geometry.

```
data_Ba3TbGe2O9
_cell_length_a 5.8367
_cell_length_b 5.8367
_cell_length_c 7.1940
_cell_angle_alpha 90.00
_cell_angle_beta 90.00
_cell_angle_gamma 120.00
_space_group_name_H-M_alt 'P -3 m 1'
_space_group_IT_number 164
_space_group_name_Hall '-P 3 2"'
loop_
_atom_site_label
_atom_site_type_symbol
_atom_site_fract_x
_atom_site_fract_y
_atom_site_fract_z
_atom_site_occupancy
Ba1 Ba 0.0000 0.0000 0.0000 1
Ba2 Ba 0.3333 0.6667 0.6811 1
Tb1 Tb 0.0000 0.0000 0.5000 1
Ge1 Ge 0.3333 0.6667 0.1711 1
O1 O 0.0000 0.5000 0.0000 1
O2 O 0.1782 0.3563 0.3132 1
```

Results
Formation energy from raw total energies ... -2.364 eV per atom

---

VASP calculation (PBE) on crystalline ScBSb2Te at its relaxed geometry.

```
data_ScBSb2Te
_cell_length_a 4.876
_cell_length_b 4.876
_cell_length_c 4.868
_cell_angle_alpha 90.00
_cell_angle_beta 90.00
_cell_angle_gamma 90.00
_space_group_name_H-M_alt 'P 4/m m m'
_space_group_IT_number 123
_space_group_name_Hall '-P 4 2'
loop_
_atom_site_label
_atom_site_type_symbol
_atom_site_fract_x
_atom_site_fract_y
_atom_site_fract_z
_atom_site_occupancy
Sc1 Sc 0.000 0.000 0.000 1
B1 B 0.500 0.500 0.500 1
Sb1 Sb 0.000 0.500 0.500 1
Te1 Te 0.500 0.500 0.000 1
```

Results
Energy relative to the lowest polymorph listed for this composition ... 0.0000 eV/atom
Formation energy from raw total energies ... 0.414 eV per atom

---

VASP calculation (PBE) on crystalline SrCu2GeAu4 at its relaxed geometry.

```
data_SrCu2GeAu4
_cell_length_a 4.4949
_cell_length_b 4.4949
_cell_length_c 27.4811
_cell_angle_alpha 90.00
_cell_angle_beta 90.00
_cell_angle_gamma 120.00
_space_group_name_H-M_alt 'R -3 m'
_space_group_IT_number 166
_space_group_name_Hall '-R 3 2"'
loop_
_atom_site_label
_atom_site_type_symbol
_atom_site_fract_x
_atom_site_fract_y
_atom_site_fract_z
_atom_site_occupancy
Sr1 Sr 0.0000 0.0000 0.0000 1
Cu1 Cu 0.0000 0.0000 0.2400 1
Ge1 Ge 0.0000 0.0000 0.5000 1
Au1 Au 0.0000 0.0000 0.1288 1
Au2 Au 0.0000 0.0000 0.4029 1
```

Results
DFT formation energy ... -160.2 meV per atom

---

VASP calculation (PBE) on crystalline CsBaHg2Sb2 at its relaxed geometry.

```
data_CsBaHg2Sb2
_cell_length_a 5.1275
_cell_length_b 5.1275
_cell_length_c 10.2535
_cell_angle_alpha 90.00
_cell_angle_beta 90.00
_cell_angle_gamma 120.00
_space_group_name_H-M_alt 'P -3 m 1'
_space_group_IT_number 164
_space_group_name_Hall '-P 3 2"'
loop_
_atom_site_label
_atom_site_type_symbol
_atom_site_fract_x
_atom_site_fract_y
_atom_site_fract_z
_atom_site_occupancy
Cs1 Cs 0.0000 0.0000 0.0000 1
Ba1 Ba 0.0000 0.0000 0.5000 1
Hg1 Hg 0.3333 0.6667 0.2962 1
Sb1 Sb 0.3333 0.6667 0.7217 1
```

Results
Formation energy from raw total energies ... -0.527 eV per atom

---

Copy entry 7 word for word.
VASP calculation (PBE) on crystalline Ba3TbGe2O9 at its relaxed geometry.

```
data_Ba3TbGe2O9
_cell_length_a 5.8367
_cell_length_b 5.8367
_cell_length_c 7.1940
_cell_angle_alpha 90.00
_cell_angle_beta 90.00
_cell_angle_gamma 120.00
_space_group_name_H-M_alt 'P -3 m 1'
_space_group_IT_number 164
_space_group_name_Hall '-P 3 2"'
loop_
_atom_site_label
_atom_site_type_symbol
_atom_site_fract_x
_atom_site_fract_y
_atom_site_fract_z
_atom_site_occupancy
Ba1 Ba 0.0000 0.0000 0.0000 1
Ba2 Ba 0.3333 0.6667 0.6811 1
Tb1 Tb 0.0000 0.0000 0.5000 1
Ge1 Ge 0.3333 0.6667 0.1711 1
O1 O 0.0000 0.5000 0.0000 1
O2 O 0.1782 0.3563 0.3132 1
```

Results
Formation energy from raw total energies ... -2.364 eV per atom